Cd5GaHg12: optimized geometry, GGA-PBE.

The formation energy comes out at 29 meV/atom.

The structure belongs to space group C2/m (No. 12); the cell edges are 6.015, 11.210 and 13.647 Å and the angles 90.00°, 90.19° and 90.00°. The inequivalent atoms are Cd at (0.000, 0.000, 0.000), Cd at (0.000, 0.136, 0.500), Cd at (0.000, 0.363, 0.000), Ga at (0.000, 0.500, 0.500), Hg at (0.142, 0.183, 0.845), Hg at (0.142, 0.318, 0.651), Hg at (0.186, 0.500, 0.815) and Hg at (0.192, 0.000, 0.682).

***

Tb5Ho2Tm2: optimized geometry, GGA-PBE.

The formation energy comes out at 187 meV/atom.

The structure belongs to space group Ima2 (No. 46); the cell edges are 14.898, 12.657 and 6.066 Å and the angles 90.00°, 90.00° and 90.00°. The inequivalent atoms are Tb at (0.048, 0.200, 0.000), Tb at (0.143, 0.688, 0.832), Tb at (0.250, 0.182, 0.749), Ho at (0.000, 0.000, 0.404), Ho at (0.250, 0.052, 0.284) and Tm at (0.136, 0.548, 0.342).

***

PPdRuN: optimized geometry, GGA-PBE.

For the uncorrected formation energy, the calculation gives 0.199 eV/atom.

The structure belongs to space group P1 (No. 1); the cell edges are 3.090, 4.156 and 4.803 Å and the angles 113.45°, 91.70° and 109.75°. The inequivalent atoms are P at (0.000, 0.000, 0.000), Pd at (0.149, 0.312, 0.595), Ru at (0.747, 0.502, 0.166) and N at (0.014, 0.799, 0.624).

***

GaSe2O2: optimized geometry, GGA-PBE.

For the uncorrected formation energy, the calculation gives 0.527 eV/atom.

The structure belongs to space group I4/mmm (No. 139); the cell edges are 3.578, 3.578 and 12.941 Å and the angles 90.00°, 90.00° and 90.00°. The inequivalent atoms are Ga at (0.000, 0.000, 0.000), Se at (0.000, 0.500, 0.250) and O at (0.000, 0.000, 0.390).

***

Number 1: spin magnetization 0.0 μB per formula unit. Number 2: spin magnetization 0.0 μB per formula unit. Number 3: spin magnetization 0.0 μB per formula unit. Number 4: spin magnetization 0.0 μB per formula unit.